# Nb2V2In | Alexandria via LeMat-Bulk | GGA-PBE | optimized geometry
# E_form = 0.1448 eV/atom
# DFT total energy = -8.08 eV/atom
data_Nb2V2In
_symmetry_space_group_name_H-M 'P 4/m b m'
_symmetry_Int_Tables_number 127
_symmetry_space_group_name_Hall '-P 4 2ab'
_cell_length_a 7.2044
_cell_length_b 7.2044
_cell_length_c 3.3329
_cell_angle_alpha 90.00
_cell_angle_beta 90.00
_cell_angle_gamma 90.00
loop_
_atom_site_label
_atom_site_type_symbol
_atom_site_fract_x
_atom_site_fract_y
_atom_site_fract_z
_atom_site_occupancy
Nb1 Nb 0.1914 0.3086 0.0000 1
V1 V 0.1068 0.6068 0.5000 1
In1 In 0.0000 0.0000 0.5000 1